--- i ---
The following is a PBE calculation of a relaxed AcP2Pd3 crystal, from the Alexandria database. Values from VASP.

Structure (Quantum ESPRESSO input):
```
&SYSTEM
  ibrav = 0, nat = 12, ntyp = 3
/
ATOMIC_SPECIES
Ac 227.00 Ac.upf
P 30.97 P.upf
Pd 106.42 Pd.upf
CELL_PARAMETERS angstrom
8.123 -2.078 0.000
8.123 2.078 0.000
-0.090 0.000 7.015
ATOMIC_POSITIONS crystal
Ac 0.101 0.101 0.251
Ac 0.899 0.899 0.749
P 0.248 0.248 0.741
P 0.461 0.461 0.137
P 0.539 0.539 0.863
P 0.752 0.752 0.259
Pd 0.102 0.102 0.764
Pd 0.304 0.304 0.436
Pd 0.308 0.308 0.044
Pd 0.692 0.692 0.956
Pd 0.696 0.696 0.564
Pd 0.898 0.898 0.236
```

crystal system	monoclinic
magnetic moment	0.000	μB per formula unit
DOS(E_F)	0.60	states/eV per atom


--- ii ---
The following is a PBE calculation of a relaxed AcP2Pd3 crystal, from the Alexandria database. Values from VASP.

Structure (Quantum ESPRESSO input):
```
&SYSTEM
  ibrav = 0, nat = 12, ntyp = 3
/
ATOMIC_SPECIES
Ac 227.00 Ac.upf
P 30.97 P.upf
Pd 106.42 Pd.upf
CELL_PARAMETERS angstrom
7.736 -2.088 0.000
7.736 2.088 0.000
-3.136 0.000 6.773
ATOMIC_POSITIONS crystal
Ac 0.156 0.156 0.073
Ac 0.844 0.844 0.927
P 0.185 0.185 0.677
P 0.482 0.482 0.836
P 0.518 0.518 0.164
P 0.815 0.815 0.323
Pd 0.045 0.045 0.360
Pd 0.316 0.316 0.574
Pd 0.402 0.402 0.309
Pd 0.598 0.598 0.691
Pd 0.684 0.684 0.426
Pd 0.955 0.955 0.640
```

crystal system	monoclinic
magnetic moment	0.000	μB per formula unit
DOS(E_F)	0.62	states/eV per atom


Relative energies, unit kJ/mol of atoms: i 6.5; ii 0.0


--- i ---
The following is a PBE calculation of a relaxed Ac2PPd crystal, from the Alexandria database. Values from VASP.

Structure (Quantum ESPRESSO input):
```
&SYSTEM
  ibrav = 0, nat = 4, ntyp = 3
/
ATOMIC_SPECIES
Ac 227.00 Ac.upf
P 30.97 P.upf
Pd 106.42 Pd.upf
CELL_PARAMETERS angstrom
0.000 3.790 3.790
3.790 0.000 3.790
3.790 3.790 0.000
ATOMIC_POSITIONS crystal
Ac 0.250 0.250 0.250
Ac 0.750 0.750 0.750
P 0.000 0.000 0.000
Pd 0.500 0.500 0.500
```

crystal system	cubic
magnetic moment	0.564	μB per formula unit
DOS(E_F)	0.90	states/eV per atom


--- ii ---
The following is a PBE calculation of a relaxed Ac2PPd crystal, from the Alexandria database. Values from VASP.

Structure (Quantum ESPRESSO input):
```
&SYSTEM
  ibrav = 0, nat = 4, ntyp = 3
/
ATOMIC_SPECIES
Ac 227.00 Ac.upf
P 30.97 P.upf
Pd 106.42 Pd.upf
CELL_PARAMETERS angstrom
3.810 0.000 0.000
0.000 3.810 0.000
0.000 0.000 7.472
ATOMIC_POSITIONS crystal
Ac 0.000 0.000 0.240
Ac 0.000 0.000 0.760
P 0.500 0.500 0.000
Pd 0.500 0.500 0.500
```

crystal system	tetragonal
magnetic moment	0.000	μB per formula unit
DOS(E_F)	0.55	states/eV per atom


Relative energies, unit kJ/mol of atoms: i 9.2; ii 0.0


--- i ---
The following is a PBE calculation of a relaxed Ac2PPd crystal, from the Alexandria database. Values from VASP.

Structure (Quantum ESPRESSO input):
```
&SYSTEM
  ibrav = 0, nat = 4, ntyp = 3
/
ATOMIC_SPECIES
Ac 227.00 Ac.upf
P 30.97 P.upf
Pd 106.42 Pd.upf
CELL_PARAMETERS angstrom
2.151 1.242 7.717
-2.151 1.242 7.717
0.000 -2.484 7.717
ATOMIC_POSITIONS crystal
Ac 0.000 0.000 0.000
Ac 0.175 0.175 0.175
P 0.589 0.589 0.589
Pd 0.755 0.755 0.755
```

crystal system	trigonal
magnetic moment	0.000	μB per formula unit
DOS(E_F)	0.89	states/eV per atom


--- ii ---
The following is a PBE calculation of a relaxed Ac2PPd crystal, from the Alexandria database. Values from VASP.

Structure (Quantum ESPRESSO input):
```
&SYSTEM
  ibrav = 0, nat = 4, ntyp = 3
/
ATOMIC_SPECIES
Ac 227.00 Ac.upf
P 30.97 P.upf
Pd 106.42 Pd.upf
CELL_PARAMETERS angstrom
2.177 1.257 7.514
-2.177 1.257 7.514
0.000 -2.514 7.514
ATOMIC_POSITIONS crystal
Ac 0.249 0.249 0.249
Ac 0.751 0.751 0.751
P 0.500 0.500 0.500
Pd 0.000 0.000 0.000
```

crystal system	trigonal
magnetic moment	0.000	μB per formula unit
DOS(E_F)	0.68	states/eV per atom


Relative energies, unit kJ/mol of atoms: i 5.3; ii 0.0


--- i ---
The following is a PBE calculation of a relaxed AcPmP2 crystal, from the Alexandria database. Values from VASP.

Structure (Quantum ESPRESSO input):
```
&SYSTEM
  ibrav = 0, nat = 8, ntyp = 3
/
ATOMIC_SPECIES
Ac 227.00 Ac.upf
Pm 145.00 Pm.upf
P 30.97 P.upf
CELL_PARAMETERS angstrom
4.244 0.000 0.000
-2.122 3.676 0.000
0.000 0.000 14.196
ATOMIC_POSITIONS crystal
Ac 0.333 0.667 0.250
Ac 0.667 0.333 0.750
Pm 0.000 0.000 0.000
Pm 0.000 0.000 0.500
P 0.333 0.667 0.616
P 0.333 0.667 0.884
P 0.667 0.333 0.116
P 0.667 0.333 0.384
```

crystal system	hexagonal
magnetic moment	0.000	μB per formula unit
DOS(E_F)	0.11	states/eV per atom


--- ii ---
The following is a PBE calculation of a relaxed AcPmP2 crystal, from the Alexandria database. Values from VASP.

Structure (Quantum ESPRESSO input):
```
&SYSTEM
  ibrav = 0, nat = 4, ntyp = 3
/
ATOMIC_SPECIES
Ac 227.00 Ac.upf
Pm 145.00 Pm.upf
P 30.97 P.upf
CELL_PARAMETERS angstrom
3.660 0.000 0.000
0.000 3.660 0.000
0.000 0.000 7.331
ATOMIC_POSITIONS crystal
Ac 0.000 0.000 0.000
Pm 0.000 0.000 0.500
P 0.500 0.500 0.264
P 0.500 0.500 0.736
```

crystal system	tetragonal
magnetic moment	0.000	μB per formula unit
DOS(E_F)	0.43	states/eV per atom


Relative energies, unit kJ/mol of atoms: i 0.0; ii 38.5


--- i ---
The following is a PBE calculation of a relaxed AcPmP2 crystal, from the Alexandria database. Values from VASP.

Structure (Quantum ESPRESSO input):
```
&SYSTEM
  ibrav = 0, nat = 4, ntyp = 3
/
ATOMIC_SPECIES
Ac 227.00 Ac.upf
Pm 145.00 Pm.upf
P 30.97 P.upf
CELL_PARAMETERS angstrom
2.144 1.238 7.021
-2.144 1.238 7.021
0.000 -2.476 7.021
ATOMIC_POSITIONS crystal
Ac 0.000 0.000 0.000
Pm 0.500 0.500 0.500
P 0.245 0.245 0.245
P 0.755 0.755 0.755
```

crystal system	trigonal
magnetic moment	0.000	μB per formula unit
DOS(E_F)	0.16	states/eV per atom


--- ii ---
The following is a PBE calculation of a relaxed AcPmP2 crystal, from the Alexandria database. Values from VASP.

Structure (Quantum ESPRESSO input):
```
&SYSTEM
  ibrav = 0, nat = 4, ntyp = 3
/
ATOMIC_SPECIES
Ac 227.00 Ac.upf
Pm 145.00 Pm.upf
P 30.97 P.upf
CELL_PARAMETERS angstrom
2.113 1.220 7.325
-2.113 1.220 7.325
0.000 -2.440 7.325
ATOMIC_POSITIONS crystal
Ac 0.000 0.000 0.000
Pm 0.829 0.829 0.829
P 0.417 0.417 0.417
P 0.576 0.576 0.576
```

crystal system	trigonal
magnetic moment	0.000	μB per formula unit
DOS(E_F)	0.03	states/eV per atom


--- iii ---
The following is a PBE calculation of a relaxed AcPmP2 crystal, from the Alexandria database. Values from VASP.

Structure (Quantum ESPRESSO input):
```
&SYSTEM
  ibrav = 0, nat = 4, ntyp = 3
/
ATOMIC_SPECIES
Ac 227.00 Ac.upf
Pm 145.00 Pm.upf
P 30.97 P.upf
CELL_PARAMETERS angstrom
0.000 3.668 3.668
3.668 0.000 3.668
3.668 3.668 0.000
ATOMIC_POSITIONS crystal
Ac 0.000 0.000 0.000
Pm 0.500 0.500 0.500
P 0.250 0.250 0.250
P 0.750 0.750 0.750
```

crystal system	cubic
magnetic moment	0.000	μB per formula unit
DOS(E_F)	0.50	states/eV per atom


Relative energies, unit kJ/mol of atoms: i 0.0; ii 15.9; iii 41.2


--- i ---
The following is a PBE calculation of a relaxed Ac2PmP crystal, from the Alexandria database. Values from VASP.

Structure (Quantum ESPRESSO input):
```
&SYSTEM
  ibrav = 0, nat = 4, ntyp = 3
/
ATOMIC_SPECIES
Ac 227.00 Ac.upf
Pm 145.00 Pm.upf
P 30.97 P.upf
CELL_PARAMETERS angstrom
5.145 0.000 0.000
0.000 5.145 0.000
0.000 0.000 4.637
ATOMIC_POSITIONS crystal
Ac 0.000 0.500 0.000
Ac 0.500 0.000 0.000
Pm 0.000 0.000 0.500
P 0.500 0.500 0.500
```

crystal system	tetragonal
magnetic moment	0.000	μB per formula unit
DOS(E_F)	0.92	states/eV per atom


--- ii ---
The following is a PBE calculation of a relaxed Ac2PmP crystal, from the Alexandria database. Values from VASP.

Structure (Quantum ESPRESSO input):
```
&SYSTEM
  ibrav = 0, nat = 4, ntyp = 3
/
ATOMIC_SPECIES
Ac 227.00 Ac.upf
Pm 145.00 Pm.upf
P 30.97 P.upf
CELL_PARAMETERS angstrom
2.064 1.191 10.192
-2.064 1.191 10.192
0.000 -2.383 10.192
ATOMIC_POSITIONS crystal
Ac 0.228 0.228 0.228
Ac 0.772 0.772 0.772
Pm 0.000 0.000 0.000
P 0.500 0.500 0.500
```

crystal system	trigonal
magnetic moment	0.001	μB per formula unit
DOS(E_F)	1.50	states/eV per atom


Relative energies, unit kJ/mol of atoms: i 26.7; ii 0.0